(1)
PrNd2Rh | PBE | optimized geometry

Properties
Energy relative to the lowest polymorph listed for this composition   0.50 eV/f.u.
Space group   No. 123
Energy of formation from the pure elements   -0.291 eV/atom

Cell: 3.623 3.623 8.940 Å, 90.00 90.00 90.00°
Atoms (fractional coordinates):
Pr 0.000 0.000 0.000
Nd 0.500 0.500 0.313
Nd 0.500 0.500 0.687
Rh 0.000 0.000 0.500

=====

(2)
PrNi2Au2N | PBE | optimized geometry

Properties
Space group   No. 139
Calculated total energy   -5.49 eV per atom

Cell: 3.890 3.890 13.894 Å, 90.00 90.00 90.00°
Atoms (fractional coordinates):
Pr 0.000 0.000 0.000
Pr 0.500 0.500 0.500
Ni 0.000 0.000 0.375
Ni 0.000 0.000 0.625
Ni 0.500 0.500 0.125
Ni 0.500 0.500 0.875
Au 0.000 0.500 0.250
Au 0.000 0.500 0.750
Au 0.500 0.000 0.250
Au 0.500 0.000 0.750
N 0.000 0.000 0.500
N 0.500 0.500 0.000

=====

(3)
Cs3TiV | PBE | optimized geometry

Properties
Space group   No. 221
Energy of formation from the pure elements   1.665 eV/atom

Cell: 6.966 6.966 6.966 Å, 90.00 90.00 90.00°
Atoms (fractional coordinates):
Cs 0.000 0.000 0.500
Cs 0.000 0.500 0.000
Cs 0.500 0.000 0.000
Ti 0.500 0.500 0.500
V 0.000 0.000 0.000

=====

(4)
Pm6PrTe8 | PBE | optimized geometry

Properties
Energy relative to the lowest polymorph listed for this composition   1.76 eV/f.u.
Space group   No. 148

Cell: 8.365 8.365 8.365 Å, 69.03 69.03 69.03°
Atoms (fractional coordinates):
Pm 0.080 0.455 0.695
Pm 0.305 0.920 0.545
Pm 0.455 0.695 0.080
Pm 0.545 0.305 0.920
Pm 0.695 0.080 0.455
Pm 0.920 0.545 0.305
Pr 0.000 0.000 0.000
Te 0.097 0.808 0.370
Te 0.192 0.630 0.903
Te 0.327 0.327 0.327
Te 0.370 0.097 0.808
Te 0.630 0.903 0.192
Te 0.673 0.673 0.673
Te 0.808 0.370 0.097
Te 0.903 0.192 0.630

=====

(5)
Li2GaIr | PBE | optimized geometry

Properties
Space group   No. 62
Energy of formation from the pure elements   -0.322 eV/atom

Cell: 5.028 8.573 5.149 Å, 90.00 90.00 90.00°
Atoms (fractional coordinates):
Li 0.249 0.002 0.249
Li 0.249 0.498 0.249
Li 0.251 0.502 0.749
Li 0.251 0.998 0.749
Li 0.749 0.002 0.251
Li 0.749 0.498 0.251
Li 0.751 0.502 0.751
Li 0.751 0.998 0.751
Ga 0.000 0.250 0.462
Ga 0.000 0.750 0.538
Ga 0.500 0.250 0.038
Ga 0.500 0.750 0.962
Ir 0.000 0.250 0.955
Ir 0.000 0.750 0.045
Ir 0.500 0.250 0.545
Ir 0.500 0.750 0.455

=====

(6)
KTe2RhN | PBE | optimized geometry

Properties
Energy relative to the lowest polymorph listed for this composition   0.00 eV/f.u.
Space group   No. 123

Cell: 5.906 5.906 3.633 Å, 90.00 90.00 90.00°
Atoms (fractional coordinates):
K 0.000 0.000 0.000
Te 0.000 0.500 0.500
Te 0.500 0.000 0.500
Rh 0.500 0.500 0.500
N 0.500 0.500 0.000

=====

(7)
Hg2TeS4 | PBE | optimized geometry

Properties
Energy relative to the lowest polymorph listed for this composition   0.00 eV/f.u.
Space group   No. 121

Cell: 5.921 5.921 11.247 Å, 90.00 90.00 90.00°
Atoms (fractional coordinates):
Hg 0.000 0.500 0.250
Hg 0.000 0.500 0.750
Hg 0.500 0.000 0.250
Hg 0.500 0.000 0.750
Te 0.000 0.000 0.000
Te 0.500 0.500 0.500
S 0.231 0.231 0.387
S 0.231 0.769 0.613
S 0.269 0.269 0.887
S 0.269 0.731 0.113
S 0.731 0.269 0.113
S 0.731 0.731 0.887
S 0.769 0.231 0.613
S 0.769 0.769 0.387

=====

(8)
Co3Br | PBE | optimized geometry

Properties
Energy relative to the lowest polymorph listed for this composition   2.02 eV/f.u.
Space group   No. 225

Cell: 5.980 5.980 5.980 Å, 90.00 90.00 90.00°
Atoms (fractional coordinates):
Co 0.000 0.000 0.000
Co 0.000 0.500 0.500
Co 0.250 0.250 0.250
Co 0.250 0.250 0.750
Co 0.250 0.750 0.250
Co 0.250 0.750 0.750
Co 0.500 0.000 0.500
Co 0.500 0.500 0.000
Co 0.750 0.250 0.250
Co 0.750 0.250 0.750
Co 0.750 0.750 0.250
Co 0.750 0.750 0.750
Br 0.000 0.000 0.500
Br 0.000 0.500 0.000
Br 0.500 0.000 0.000
Br 0.500 0.500 0.500

=====

(9)
Ho6Fe2Os | PBE | optimized geometry

Properties
Space group   No. 71
Energy of formation from the pure elements   -0.077 eV/atom

Cell: 8.160 8.160 8.160 Å, 110.72 109.42 108.28°
Atoms (fractional coordinates):
Ho 0.026 0.203 0.822
Ho 0.252 0.575 0.323
Ho 0.252 0.929 0.677
Ho 0.264 0.310 0.573
Ho 0.264 0.690 0.954
Ho 0.381 0.203 0.178
Ho 0.619 0.797 0.822
Ho 0.736 0.310 0.046
Ho 0.736 0.690 0.427
Ho 0.748 0.071 0.323
Ho 0.748 0.425 0.677
Ho 0.974 0.797 0.178
Fe 0.000 0.124 0.124
Fe 0.000 0.876 0.876
Fe 0.389 0.000 0.389
Fe 0.611 0.000 0.611
Os 0.000 0.500 0.500
Os 0.500 0.500 0.000

=====

(10)
CrCuSe2 | PBE | optimized geometry

Properties
Energy relative to the lowest polymorph listed for this composition   1.87 eV/f.u.
Space group   No. 123

Cell: 3.196 3.196 6.409 Å, 90.00 90.00 90.00°
Atoms (fractional coordinates):
Cr 0.000 0.000 0.000
Cu 0.000 0.000 0.500
Se 0.500 0.500 0.235
Se 0.500 0.500 0.765

=====

(11)
K3Tl4SnBr8 | PBE | optimized geometry

Properties
Space group   No. 166
Calculated total energy   -2.95 eV per atom

Cell: 9.645 9.645 9.645 Å, 57.33 57.33 57.33°
Atoms (fractional coordinates):
K 0.000 0.500 0.500
K 0.500 0.000 0.500
K 0.500 0.500 0.000
Tl 0.000 0.000 0.500
Tl 0.000 0.500 0.000
Tl 0.500 0.000 0.000
Tl 0.500 0.500 0.500
Sn 0.000 0.000 0.000
Br 0.234 0.234 0.762
Br 0.234 0.762 0.234
Br 0.238 0.766 0.766
Br 0.252 0.252 0.252
Br 0.748 0.748 0.748
Br 0.762 0.234 0.234
Br 0.766 0.238 0.766
Br 0.766 0.766 0.238

=====

(12)
NaSr2RuC | PBE | optimized geometry

Properties
Space group   No. 123
Energy of formation from the pure elements   0.174 eV/atom

Cell: 5.631 5.631 3.964 Å, 90.00 90.00 90.00°
Atoms (fractional coordinates):
Na 0.000 0.000 0.000
Sr 0.000 0.500 0.500
Sr 0.500 0.000 0.500
Ru 0.500 0.500 0.000
C 0.500 0.500 0.500

=====

no.,total magnetization (μB per formula unit)
1,0.0
2,1.2
3,5.1
4,0.0
5,0.0
6,0.0
7,0.0
8,5.1
9,2.3
10,2.6
11,0.0
12,0.0